SbRhO2 after structural relaxation. Source: the Alexandria database, functional PBE.

Computed properties:
Its volume is 171.3 Å³ per cell. Its uncorrected formation energy is -2.4 eV/f.u.

```
SbRhO2
1.0
3.197 0.000 0.000
-1.598 2.769 0.000
0.000 0.000 19.361
Sb Rh O
3 3 6
Direct
0.000 0.000 0.000 Sb
0.333 0.667 0.667 Sb
0.667 0.333 0.333 Sb
0.000 0.000 0.500 Rh
0.333 0.667 0.167 Rh
0.667 0.333 0.833 Rh
0.000 0.000 0.116 O
0.000 0.000 0.884 O
0.333 0.667 0.550 O
0.333 0.667 0.783 O
0.667 0.333 0.217 O
0.667 0.333 0.450 O
```